Entry 1:
DFT (PBE) results for crystalline Nd2CdSiO6 at its relaxed geometry.

Summary:
formation energy (no corrections) = -2.6060 eV/atom

```
Nd2CdSiO6
1.0
4.878 0.000 0.000
0.000 5.344 0.000
0.000 0.000 5.344
Nd Cd Si O
2 1 1 6
direct
0.011 0.500 0.000 Nd
0.011 0.000 0.500 Nd
0.552 0.500 0.500 Cd
0.608 0.000 0.000 Si
0.722 0.222 0.222 O
0.722 0.222 0.778 O
0.115 0.500 0.500 O
0.264 0.000 0.000 O
0.722 0.778 0.778 O
0.722 0.778 0.222 O
```


Entry 2:
DFT (PBE) results for crystalline Ce5Sb2Ir2 at its relaxed geometry.

Summary:
formation energy (no corrections) = -0.6206 eV/atom

```
Ce5Sb2Ir2
1.0
8.350 0.000 0.000
0.000 6.809 0.000
-4.175 -3.405 8.773
Ce Sb Ir
10 4 4
direct
0.230 0.660 0.945 Ce
0.770 0.716 0.055 Ce
0.215 0.160 0.945 Ce
0.785 0.216 0.055 Ce
0.258 0.083 0.316 Ce
0.742 0.767 0.684 Ce
0.558 0.583 0.316 Ce
0.442 0.267 0.684 Ce
0.039 0.798 0.500 Ce
0.961 0.298 0.500 Ce
0.148 0.552 0.219 Sb
0.852 0.333 0.781 Sb
0.571 0.052 0.219 Sb
0.429 0.833 0.781 Sb
0.000 0.929 0.000 Ir
0.500 0.429 0.000 Ir
0.261 0.498 0.500 Ir
0.739 0.998 0.500 Ir
```


Entry 3:
DFT (PBE) results for crystalline Mo2PBr at its relaxed geometry.

Summary:
ΔE to the lowest computed polymorph = 2.41 kcal/mol of atoms
formation energy (no corrections) = 0.1463 eV/atom

```
Mo2PBr
1.0
-3.900 3.875 -7.396
-5.395 1.167 -7.379
-6.407 3.503 -5.622
Br Mo P
1 2 1
direct
0.734 0.734 0.734 Br
0.997 0.997 0.997 Mo
0.249 0.249 0.249 Mo
0.521 0.521 0.521 P
```


Entry 4:
DFT (PBE) results for crystalline CuMo2Ru at its relaxed geometry.

Summary:
ΔH_f (0 K) = 257 meV per atom
ΔE to the lowest computed polymorph = 3.37 kcal/mol of atoms

```
CuMo2Ru
1.0
-0.546 -1.459 -2.464
-0.060 -3.856 2.296
-4.425 -2.321 2.355
Cu Mo Ru
1 2 1
direct
0.000 0.000 0.500 Cu
0.000 0.000 0.000 Mo
0.500 0.500 0.000 Mo
0.500 0.500 0.500 Ru
```


Number 1: energy -7.168 eV per atom. Number 2: energy -6.802 eV per atom. Number 3: energy -7.040 eV per atom. Number 4: energy -8.502 eV per atom.